No. 1
Crystalline Li4CuPd3 at its relaxed geometry, computed with PBE-GGA.

Cell: 2.9990 4.2884 8.9740 Å, 76.96 99.62 90.00°
Last column: nearest neighbours and their distance in Å.
Sites, in units of the cell vectors:
1 Pd 0.1286 0.8702 0.2571  7 Li 2.63-2.91, 2 Cu 2.67
2 Pd 0.0000 0.5000 0.0000  4 Li 2.49, 4 Cu 2.62
3 Pd 0.8714 0.1298 0.7429  7 Li 2.63-2.91, 2 Cu 2.67
4 Cu 0.5000 0.0000 0.0000  8 Pd 2.62-2.67, 2 Li 2.90
5 Li 0.6157 0.3823 0.2314  6 Pd 2.49-2.63, 2 Li 2.67
6 Li 0.7561 0.7444 0.5122  6 Li 2.62-2.67, 3 Pd 2.66-2.91
7 Li 0.3843 0.6177 0.7686  6 Pd 2.49-2.63, 2 Li 2.67
8 Li 0.2439 0.2556 0.4878  6 Li 2.62-2.67, 3 Pd 2.66-2.91

Output
D(E_F) in states/eV/cell: 1.510
Space group: C2/m, No. 12
Calculated volume in Å³ per cell: 111

***

No. 2
Crystalline Li2Cu2Pd5 at its relaxed geometry, computed with PBE-GGA.

Cell: 3.8209 4.6927 8.2406 Å, 72.96 76.59 65.98°
Last column: nearest neighbours and their distance in Å.
Sites, in units of the cell vectors:
1 Pd 0.9993 0.3362 0.6653  5 Pd 2.68-2.75, 5 Li 2.69-2.73, 2 Cu 2.74
2 Pd 0.6709 0.8821 0.7760  5 Pd 2.68-2.75, 4 Cu 2.70-2.76, 3 Li 2.71-2.74
3 Pd 0.0007 0.6638 0.3347  5 Pd 2.68-2.75, 5 Li 2.69-2.73, 2 Cu 2.74
4 Pd 0.0000 0.0000 0.0000  6 Cu 2.70-2.72, 6 Pd 2.75
5 Pd 0.3291 0.1179 0.2240  5 Pd 2.68-2.75, 4 Cu 2.70-2.76, 3 Li 2.71-2.74
6 Cu 0.3332 0.4427 0.8909  9 Pd 2.70-2.76, 2 Cu 2.71, 1 Li 2.74
7 Cu 0.6668 0.5573 0.1091  9 Pd 2.70-2.76, 2 Cu 2.71, 1 Li 2.74
8 Li 0.6659 0.2243 0.4439  8 Pd 2.69-2.74, 3 Li 2.71-2.72, 1 Cu 2.74
9 Li 0.3341 0.7757 0.5561  8 Pd 2.69-2.74, 3 Li 2.71-2.72, 1 Cu 2.74

Output
D(E_F) in states/eV/cell: 6.478
Space group: C2/m, No. 12
Calculated volume in Å³ per cell: 128

***

No. 3
Crystalline LiPmCuPd2 at its relaxed geometry, computed with PBE-GGA.

Cell: 3.8924 3.8924 6.6809 Å, 106.94 106.94 90.00°
Last column: nearest neighbours and their distance in Å.
Sites, in units of the cell vectors:
1 Li 0.7500 0.2500 0.5000  4 Pd 2.58, 4 Cu 2.75
2 Pm 0.0000 0.0000 0.0000  8 Pd 3.07
3 Cu 0.2500 0.7500 0.5000  4 Pd 2.58, 4 Li 2.75
4 Pd 0.6110 0.6110 0.2221  2 Li 2.58, 2 Cu 2.58, 1 Pd 2.70
5 Pd 0.3890 0.3890 0.7779  2 Li 2.58, 2 Cu 2.58, 1 Pd 2.70

Output
D(E_F) in states/eV/cell: 1.454
Space group: I-4m2, No. 119
Calculated volume in Å³ per cell: 92

***

No. 4
Crystalline LiPm2CuPd2 at its relaxed geometry, computed with PBE-GGA.

Cell: 5.7871 5.8843 8.3912 Å, 110.53 110.17 90.00°
Last column: nearest neighbours and their distance in Å.
Sites, in units of the cell vectors:
1 Pd 0.8794 0.1222 0.2444  2 Li 2.71, 2 Cu 2.75, 4 Pm 2.93-3.01
2 Pd 0.6350 0.3778 0.7556  2 Li 2.71, 2 Cu 2.75, 4 Pm 2.93-3.01
3 Pd 0.3650 0.6222 0.2444  2 Li 2.71, 2 Cu 2.75, 4 Pm 2.93-3.01
4 Pd 0.1206 0.8778 0.7556  2 Li 2.71, 2 Cu 2.75, 4 Pm 2.93-3.01
5 Cu 0.5000 0.2500 0.0000  4 Pd 2.75, 2 Li 2.89, 2 Cu 2.94
6 Cu 0.5000 0.7500 0.0000  4 Pd 2.75, 2 Li 2.89, 2 Cu 2.94
7 Pm 0.0977 0.3353 0.6706  5 Pd 2.93-3.11, 2 Cu 3.14, 2 Li 3.20
8 Pm 0.5729 0.8353 0.6706  5 Pd 2.93-3.11, 2 Cu 3.14, 2 Li 3.20
9 Pm 0.9023 0.6647 0.3294  5 Pd 2.93-3.11, 2 Cu 3.14, 2 Li 3.20
10 Pm 0.4271 0.1647 0.3294  5 Pd 2.93-3.11, 2 Cu 3.14, 2 Li 3.20
11 Li 0.0000 0.2500 0.0000  4 Pd 2.71, 2 Cu 2.89, 2 Li 2.94
12 Li 0.0000 0.7500 0.0000  4 Pd 2.71, 2 Cu 2.89, 2 Li 2.94

Output
D(E_F) in states/eV/cell: 6.210
Space group: Ibam, No. 72
Calculated volume in Å³ per cell: 249

***

No. 5
Crystalline LiPmCuPd at its relaxed geometry, computed with PBE-GGA.

Cell: 4.8030 4.8030 4.8030 Å, 60.00 60.00 60.00°
Last column: nearest neighbours and their distance in Å.
Sites, in units of the cell vectors:
1 Li 0.5000 0.5000 0.5000  4 Cu 2.94, 4 Pd 2.94
2 Pd 0.7500 0.7500 0.7500  4 Pm 2.94, 4 Li 2.94
3 Pm 0.0000 0.0000 0.0000  4 Cu 2.94, 4 Pd 2.94
4 Cu 0.2500 0.2500 0.2500  4 Li 2.94, 4 Pm 2.94

Output
D(E_F) in states/eV/cell: 2.898
Space group: F-43m, No. 216
Calculated volume in Å³ per cell: 78

***

No. 6
Crystalline Li3Pr2CuPd12 at its relaxed geometry, computed with PBE-GGA.

Cell: 11.8674 11.8674 11.8674 Å, 28.03 28.03 28.03°
Last column: nearest neighbours and their distance in Å.
Sites, in units of the cell vectors:
1 Pd 0.8650 0.3934 0.3934  2 Li 2.43, 4 Pd 2.71-2.72
2 Pd 0.1149 0.6084 0.1149  1 Cu 2.50, 2 Pd 2.72
3 Pd 0.3934 0.8650 0.3934  2 Li 2.43, 4 Pd 2.71-2.72
4 Pd 0.3934 0.3934 0.8650  2 Li 2.43, 4 Pd 2.71-2.72
5 Pd 0.8851 0.3916 0.8851  1 Cu 2.50, 2 Pd 2.72
6 Pd 0.6066 0.1350 0.6066  2 Li 2.43, 4 Pd 2.71-2.72
7 Pd 0.6084 0.1149 0.1149  1 Cu 2.50, 2 Pd 2.72
8 Pd 0.6066 0.6066 0.1350  2 Li 2.43, 4 Pd 2.71-2.72
9 Pd 0.1149 0.1149 0.6084  1 Cu 2.50, 2 Pd 2.72
10 Pd 0.8851 0.8851 0.3916  1 Cu 2.50, 2 Pd 2.72
11 Pd 0.3916 0.8851 0.8851  1 Cu 2.50, 2 Pd 2.72
12 Pd 0.1350 0.6066 0.6066  2 Li 2.43, 4 Pd 2.71-2.72
13 Pr 0.6385 0.6385 0.6385  9 Pd 3.01-3.25
14 Pr 0.3615 0.3615 0.3615  9 Pd 3.01-3.25
15 Li 0.5000 0.0000 0.0000  4 Pd 2.43
16 Li 0.0000 0.0000 0.5000  4 Pd 2.43
17 Li 0.0000 0.5000 0.0000  4 Pd 2.43
18 Cu 0.0000 0.0000 0.0000  6 Pd 2.50

Output
D(E_F) in states/eV/cell: 11.126
Space group: R-3m, No. 166
Calculated volume in Å³ per cell: 326

***

No. 7
Crystalline LiPrCuPd at its relaxed geometry, computed with PBE-GGA.

Cell: 4.8637 4.8637 4.8637 Å, 60.00 60.00 60.00°
Last column: nearest neighbours and their distance in Å.
Sites, in units of the cell vectors:
1 Pd 0.7500 0.7500 0.7500  4 Li 2.98, 4 Pr 2.98
2 Cu 0.2500 0.2500 0.2500  4 Li 2.98, 4 Pr 2.98
3 Li 0.5000 0.5000 0.5000  4 Cu 2.98, 4 Pd 2.98
4 Pr 0.0000 0.0000 0.0000  4 Pd 2.98, 4 Cu 2.98

Output
D(E_F) in states/eV/cell: 2.914
Space group: F-43m, No. 216
Calculated volume in Å³ per cell: 81

***

No. 8
Crystalline LiPr2CuPd2 at its relaxed geometry, computed with PBE-GGA.

Cell: 5.8564 5.9551 8.4756 Å, 110.57 110.21 90.00°
Last column: nearest neighbours and their distance in Å.
Sites, in units of the cell vectors:
1 Pd 0.1229 0.8796 0.7592  2 Li 2.72, 2 Cu 2.76, 4 Pr 2.96-3.05
2 Pd 0.8771 0.1204 0.2408  2 Li 2.72, 2 Cu 2.76, 4 Pr 2.96-3.05
3 Pd 0.6363 0.3796 0.7592  2 Li 2.72, 2 Cu 2.76, 4 Pr 2.96-3.05
4 Pd 0.3637 0.6204 0.2408  2 Li 2.72, 2 Cu 2.76, 4 Pr 2.96-3.05
5 Li 0.0000 0.7500 0.0000  4 Pd 2.72, 2 Cu 2.93, 2 Li 2.98
6 Li 0.0000 0.2500 0.0000  4 Pd 2.72, 2 Cu 2.93, 2 Li 2.98
7 Pr 0.9010 0.6632 0.3264  5 Pd 2.96-3.19, 2 Cu 3.15, 2 Li 3.22
8 Pr 0.4254 0.1632 0.3264  5 Pd 2.96-3.19, 2 Cu 3.15, 2 Li 3.22
9 Pr 0.0990 0.3368 0.6736  5 Pd 2.96-3.19, 2 Cu 3.15, 2 Li 3.22
10 Pr 0.5746 0.8368 0.6736  5 Pd 2.96-3.19, 2 Cu 3.15, 2 Li 3.22
11 Cu 0.5000 0.2500 0.0000  4 Pd 2.76, 2 Li 2.93, 2 Cu 2.98
12 Cu 0.5000 0.7500 0.0000  4 Pd 2.76, 2 Li 2.93, 2 Cu 2.98

Output
D(E_F) in states/eV/cell: 6.724
Space group: Ibam, No. 72
Calculated volume in Å³ per cell: 257

***

No. 9
Crystalline LiPrCuPd at its relaxed geometry, computed with PBE-GGA.

Cell: 4.3415 4.3455 5.4963 Å, 113.28 90.00 119.97°
Last column: nearest neighbours and their distance in Å.
Sites, in units of the cell vectors:
1 Li 0.1165 0.2329 0.9914  3 Cu 2.57, 3 Pd 2.58
2 Pd 0.4094 0.8189 0.8706  3 Li 2.58, 3 Cu 2.77
3 Pr 0.6180 0.2359 0.4960  4 Cu 3.00-3.14, 4 Pd 3.06-3.11
4 Cu 0.8225 0.6449 0.1094  3 Li 2.57, 3 Pd 2.77

Output
D(E_F) in states/eV/cell: 1.628
Space group: R3m, No. 160
Calculated volume in Å³ per cell: 80

***

No. 10
Crystalline LiPrCuPd3 at its relaxed geometry, computed with PBE-GGA.

Cell: 5.7472 5.8618 7.0234 Å, 114.66 90.00 90.00°
Last column: nearest neighbours and their distance in Å.
Sites, in units of the cell vectors:
1 Pr 0.7500 0.3190 0.6379  1 Li 2.86, 2 Cu 2.92, 6 Pd 2.95-3.05
2 Pr 0.2500 0.6810 0.3621  1 Li 2.86, 2 Cu 2.92, 6 Pd 2.95-3.05
3 Pd 0.0000 0.2657 0.0000  2 Li 2.44, 2 Cu 2.67
4 Pd 0.5000 0.2657 0.0000  2 Li 2.44, 2 Cu 2.67
5 Pd 0.2500 0.1559 0.3117  1 Cu 2.61, 4 Pd 2.91
6 Pd 0.0000 0.7343 0.0000  2 Li 2.44, 2 Cu 2.67
7 Pd 0.5000 0.7343 0.0000  2 Li 2.44, 2 Cu 2.67
8 Pd 0.7500 0.8441 0.6883  1 Cu 2.61, 4 Pd 2.91
9 Cu 0.2500 0.3599 0.7199  5 Pd 2.61-2.67
10 Cu 0.7500 0.6401 0.2801  5 Pd 2.61-2.67
11 Li 0.2500 0.9053 0.8105  4 Pd 2.44
12 Li 0.7500 0.0947 0.1895  4 Pd 2.44

Output
D(E_F) in states/eV/cell: 3.756
Space group: Cmcm, No. 63
Calculated volume in Å³ per cell: 215

***

No. 11
Crystalline Li3Pr2Cu12Pd at its relaxed geometry, computed with PBE-GGA.

Cell: 10.4101 10.4101 10.4101 Å, 32.60 32.60 32.60°
Last column: nearest neighbours and their distance in Å.
Sites, in units of the cell vectors:
1 Cu 0.5872 0.5872 0.1811  2 Li 2.35, 4 Cu 2.37-2.41
2 Cu 0.9209 0.9209 0.3681  4 Cu 2.41-2.61, 1 Pd 2.56
3 Cu 0.0791 0.6319 0.0791  4 Cu 2.41-2.61, 1 Pd 2.56
4 Cu 0.0791 0.0791 0.6319  4 Cu 2.41-2.61, 1 Pd 2.56
5 Cu 0.3681 0.9209 0.9209  4 Cu 2.41-2.61, 1 Pd 2.56
6 Cu 0.8189 0.4128 0.4128  2 Li 2.35, 4 Cu 2.37-2.41
7 Cu 0.4128 0.4128 0.8189  2 Li 2.35, 4 Cu 2.37-2.41
8 Cu 0.6319 0.0791 0.0791  4 Cu 2.41-2.61, 1 Pd 2.56
9 Cu 0.9209 0.3681 0.9209  4 Cu 2.41-2.61, 1 Pd 2.56
10 Cu 0.5872 0.1811 0.5872  2 Li 2.35, 4 Cu 2.37-2.41
11 Cu 0.4128 0.8189 0.4128  2 Li 2.35, 4 Cu 2.37-2.41
12 Cu 0.1811 0.5872 0.5872  2 Li 2.35, 4 Cu 2.37-2.41
13 Li 0.5000 0.0000 0.0000  4 Cu 2.35
14 Li 0.0000 0.0000 0.5000  4 Cu 2.35
15 Li 0.0000 0.5000 0.0000  4 Cu 2.35
16 Pd 0.0000 0.0000 0.0000  6 Cu 2.56
17 Pr 0.6428 0.6428 0.6428  12 Cu 3.11-3.34, 3 Pd 3.45
18 Pr 0.3572 0.3572 0.3572  12 Cu 3.11-3.34, 3 Pd 3.45

Output
D(E_F) in states/eV/cell: 6.973
Space group: R-3m, No. 166
Calculated volume in Å³ per cell: 291

***

No. 12
Crystalline Li2Pr2CuPd5 at its relaxed geometry, computed with PBE-GGA.

Cell: 3.8247 9.5299 9.5299 Å, 90.00 90.00 90.00°
Last column: nearest neighbours and their distance in Å.
Sites, in units of the cell vectors:
1 Pd 0.5000 0.0599 0.7971  2 Li 2.63, 2 Cu 2.78, 3 Pd 2.85-2.89
2 Pd 0.5000 0.4401 0.2971  2 Li 2.63, 2 Cu 2.78, 3 Pd 2.85-2.89
3 Pd 0.5000 0.7971 0.9401  2 Li 2.63, 2 Cu 2.78, 3 Pd 2.85-2.89
4 Pd 0.5000 0.9401 0.2029  2 Li 2.63, 2 Cu 2.78, 3 Pd 2.85-2.89
5 Pd 0.5000 0.0000 0.5000  4 Li 2.47
6 Pd 0.5000 0.7029 0.4401  2 Li 2.63, 2 Cu 2.78, 3 Pd 2.85-2.89
7 Pd 0.5000 0.2029 0.0599  2 Li 2.63, 2 Cu 2.78, 3 Pd 2.85-2.89
8 Pd 0.5000 0.5599 0.7029  2 Li 2.63, 2 Cu 2.78, 3 Pd 2.85-2.89
9 Pd 0.5000 0.2971 0.5599  2 Li 2.63, 2 Cu 2.78, 3 Pd 2.85-2.89
10 Pd 0.5000 0.5000 0.0000  4 Li 2.47
11 Li 0.0000 0.6166 0.8834  6 Pd 2.47-2.63, 1 Pr 2.70
12 Li 0.0000 0.8834 0.3834  6 Pd 2.47-2.63, 1 Pr 2.70
13 Li 0.0000 0.1166 0.6166  6 Pd 2.47-2.63, 1 Pr 2.70
14 Li 0.0000 0.3834 0.1166  6 Pd 2.47-2.63, 1 Pr 2.70
15 Cu 0.0000 0.0000 0.0000  8 Pd 2.78
16 Cu 0.0000 0.5000 0.5000  8 Pd 2.78
17 Pr 0.0000 0.6831 0.1831  3 Li 2.70-2.93
18 Pr 0.0000 0.3169 0.8169  3 Li 2.70-2.93
19 Pr 0.0000 0.8169 0.6831  3 Li 2.70-2.93
20 Pr 0.0000 0.1831 0.3169  3 Li 2.70-2.93

Output
D(E_F) in states/eV/cell: 8.065
Space group: P4/mbm, No. 127
Calculated volume in Å³ per cell: 347

***

| no. | DFT total energy (eV/atom) | formation enthalpy at 0 K (eV per atom) |
| --- | --- | --- |
| 1 | -3.731 | -0.32 |
| 2 | -4.430 | -0.21 |
| 3 | -4.716 | -0.49 |
| 4 | -4.852 | -0.54 |
| 5 | -4.301 | -0.31 |
| 6 | -4.794 | -0.25 |
| 7 | -4.273 | -0.28 |
| 8 | -4.829 | -0.50 |
| 9 | -4.385 | -0.39 |
| 10 | -4.780 | -0.39 |
| 11 | -3.773 | 0.10 |
| 12 | -4.866 | -0.52 |